# Ba6Na2HO

Ba6Na2HO after structural relaxation (PBE-GGA, Alexandria via LeMat-Bulk).

Calculated values
- magnetic moment (μB per formula unit) = 0.00
- DOS at the Fermi energy (states/eV/cell) = 17.631
- E (eV/atom) = -2.757
- crystal system = tetragonal

```
data_Ba6Na2HO
_chemical_formula_sum 'Ba12 Na4 H2 O2'
_symmetry_space_group_name_H-M 'I 4'
_symmetry_Int_Tables_number 79
_cell_length_a 8.0961
_cell_length_b 8.0961
_cell_length_c 12.9751
_cell_angle_alpha 90.00
_cell_angle_beta 90.00
_cell_angle_gamma 90.00
loop_
_symmetry_equiv_pos_as_xyz
'x,y,z'
'-y,x,z'
'-x,-y,z'
'y,-x,z'
'x+1/2,y+1/2,z+1/2'
'-y+1/2,x+1/2,z+1/2'
'-x+1/2,-y+1/2,z+1/2'
'y+1/2,-x+1/2,z+1/2'
loop_
_atom_site_label
_atom_site_type_symbol
_atom_site_fract_x
_atom_site_fract_y
_atom_site_fract_z
Ba1 Ba 0.0000 0.0000 0.0000
Ba2 Ba 0.0000 0.0000 0.4919
Ba3 Ba 0.2364 0.2376 0.7320
Na1 Na 0.0000 0.5000 0.4798
H1 H 0.0000 0.0000 0.2252
O1 O 0.0000 0.0000 0.6890
```

***

# NdHoNi

NdHoNi after structural relaxation (PBE-GGA, Alexandria via LeMat-Bulk).

Calculated values
- magnetic moment (μB per formula unit) = 0.00
- DOS at the Fermi energy (states/eV/cell) = 6.277
- E (eV/atom) = -5.295
- crystal system = triclinic

```
data_NdHoNi
_chemical_formula_sum 'Nd2 Ho2 Ni2'
_symmetry_space_group_name_H-M 'P -1'
_symmetry_Int_Tables_number 2
_cell_length_a 3.7248
_cell_length_b 6.3694
_cell_length_c 6.9945
_cell_angle_alpha 95.45
_cell_angle_beta 105.42
_cell_angle_gamma 106.97
loop_
_symmetry_equiv_pos_as_xyz
'x,y,z'
'-x,-y,-z'
loop_
_atom_site_label
_atom_site_type_symbol
_atom_site_fract_x
_atom_site_fract_y
_atom_site_fract_z
Nd1 Nd 0.0887 0.2548 0.4215
Ho1 Ho 0.1976 0.7828 0.1131
Ni1 Ni 0.4520 0.5743 0.8303
```

***

# MgCu2Ir

MgCu2Ir after structural relaxation (PBE-GGA, Alexandria via LeMat-Bulk).

Calculated values
- magnetic moment (μB per formula unit) = 0.00
- DOS at the Fermi energy (states/eV/cell) = 1.581
- E (eV/atom) = -4.792
- crystal system = tetragonal

```
data_MgCu2Ir
_chemical_formula_sum 'Mg1 Cu2 Ir1'
_symmetry_space_group_name_H-M 'P 4/m m m'
_symmetry_Int_Tables_number 123
_symmetry_space_group_name_Hall '-P 4 2'
_cell_length_a 3.8176
_cell_length_b 3.8176
_cell_length_c 3.7661
_cell_angle_alpha 90.00
_cell_angle_beta 90.00
_cell_angle_gamma 90.00
loop_
_atom_site_label
_atom_site_type_symbol
_atom_site_fract_x
_atom_site_fract_y
_atom_site_fract_z
Mg1 Mg 0.0000 0.0000 0.0000
Cu1 Cu 0.0000 0.5000 0.5000
Ir1 Ir 0.5000 0.5000 0.0000
```

***

# LaPm4Te5

LaPm4Te5 after structural relaxation (PBE-GGA, Alexandria via LeMat-Bulk).

Calculated values
- magnetic moment (μB per formula unit) = 0.00
- ΔE_f (raw) (eV/atom) = -1.442
- DOS at the Fermi energy (states/eV/cell) = 12.105
- E (eV/atom) = -5.406
- crystal system = orthorhombic

```
data_LaPm4Te5
_chemical_formula_sum 'La2 Pm8 Te10'
_symmetry_space_group_name_H-M 'I m m m'
_symmetry_Int_Tables_number 71
_symmetry_space_group_name_Hall '-I 2 2'
_cell_length_a 4.4863
_cell_length_b 6.3417
_cell_length_c 22.5099
_cell_angle_alpha 90.00
_cell_angle_beta 90.00
_cell_angle_gamma 90.00
loop_
_atom_site_label
_atom_site_type_symbol
_atom_site_fract_x
_atom_site_fract_y
_atom_site_fract_z
La1 La 0.0000 0.0000 0.0000
Pm1 Pm 0.0000 0.0000 0.2014
Pm2 Pm 0.0000 0.0000 0.4001
Te1 Te 0.0000 0.5000 0.0000
Te2 Te 0.0000 0.5000 0.1994
Te3 Te 0.0000 0.5000 0.3971
```

***

# ErTmZn6

ErTmZn6 after structural relaxation (PBE-GGA, Alexandria via LeMat-Bulk).

Calculated values
- magnetic moment (μB per formula unit) = 0.00
- DOS at the Fermi energy (states/eV/cell) = 6.450
- E (eV/atom) = -2.393
- crystal system = orthorhombic

```
data_ErTmZn6
_chemical_formula_sum 'Er2 Tm2 Zn12'
_symmetry_space_group_name_H-M 'A m m 2'
_symmetry_Int_Tables_number 38
_cell_length_a 4.3881
_cell_length_b 6.5499
_cell_length_c 10.1867
_cell_angle_alpha 90.00
_cell_angle_beta 90.00
_cell_angle_gamma 90.00
loop_
_symmetry_equiv_pos_as_xyz
'x,y,z'
'-x,-y,z'
'-x,y,z'
'x,-y,z'
'x,y+1/2,z+1/2'
'-x,-y+1/2,z+1/2'
'-x,y+1/2,z+1/2'
'x,-y+1/2,z+1/2'
loop_
_atom_site_label
_atom_site_type_symbol
_atom_site_fract_x
_atom_site_fract_y
_atom_site_fract_z
Er1 Er 0.0000 0.0000 0.0000
Tm1 Tm 0.5000 0.0000 0.7150
Zn1 Zn 0.0000 0.0000 0.5214
Zn2 Zn 0.0000 0.2063 0.2697
Zn3 Zn 0.5000 0.0000 0.1945
Zn4 Zn 0.5000 0.2057 0.4452
```

***

# LiAsF2

LiAsF2 after structural relaxation (PBE-GGA, Alexandria via LeMat-Bulk).

Calculated values
- magnetic moment (μB per formula unit) = 0.00
- ΔE_f (raw) (eV/atom) = -1.548
- DOS at the Fermi energy (states/eV/cell) = 3.645
- E (eV/atom) = -4.125
- crystal system = tetragonal

```
data_LiAsF2
_chemical_formula_sum 'Li4 As4 F8'
_symmetry_space_group_name_H-M 'I -4 2 d'
_symmetry_Int_Tables_number 122
_symmetry_space_group_name_Hall 'I -4 2bw'
_cell_length_a 5.1157
_cell_length_b 5.1157
_cell_length_c 8.2706
_cell_angle_alpha 90.00
_cell_angle_beta 90.00
_cell_angle_gamma 90.00
loop_
_atom_site_label
_atom_site_type_symbol
_atom_site_fract_x
_atom_site_fract_y
_atom_site_fract_z
Li1 Li 0.0000 0.0000 0.0000
As1 As 0.0000 0.0000 0.5000
F1 F 0.1513 0.2500 0.1250
```

***

# Rb3Li2NpO6

Rb3Li2NpO6 after structural relaxation (PBE-GGA, Alexandria via LeMat-Bulk).

Calculated values
- magnetic moment (μB per formula unit) = 0.00
- ΔE_f (raw) (eV/atom) = -2.026
- E (eV/atom) = -6.144
- crystal system = monoclinic

```
data_Rb3Li2NpO6
_chemical_formula_sum 'Rb6 Li4 Np2 O12'
_symmetry_space_group_name_H-M 'C 1 2/m 1'
_symmetry_Int_Tables_number 12
_cell_length_a 5.7914
_cell_length_b 10.8916
_cell_length_c 6.4353
_cell_angle_alpha 90.00
_cell_angle_beta 102.66
_cell_angle_gamma 90.00
loop_
_symmetry_equiv_pos_as_xyz
'x,y,z'
'-x,-y,-z'
'-x,y,-z'
'x,-y,z'
'x+1/2,y+1/2,z'
'-x+1/2,-y+1/2,-z'
'-x+1/2,y+1/2,-z'
'x+1/2,-y+1/2,z'
loop_
_atom_site_label
_atom_site_type_symbol
_atom_site_fract_x
_atom_site_fract_y
_atom_site_fract_z
Rb1 Rb 0.0000 0.0000 0.0000
Rb2 Rb 0.0000 0.3138 0.0000
Li1 Li 0.0000 0.2151 0.5000
Np1 Np 0.0000 0.5000 0.5000
O1 O 0.1659 0.5000 0.2651
O2 O 0.2188 0.3582 0.6527
```

***

# Pr3ScIn2

Pr3ScIn2 after structural relaxation (PBE-GGA, Alexandria via LeMat-Bulk).

Calculated values
- magnetic moment (μB per formula unit) = 1.20
- DOS at the Fermi energy (states/eV/cell) = 31.360
- E (eV/atom) = -4.646
- crystal system = orthorhombic

```
data_Pr3ScIn2
_chemical_formula_sum 'Pr12 Sc4 In8'
_symmetry_space_group_name_H-M 'I b a m'
_symmetry_Int_Tables_number 72
_symmetry_space_group_name_Hall '-I 2 2c'
_cell_length_a 6.7142
_cell_length_b 16.6788
_cell_length_c 6.6670
_cell_angle_alpha 90.00
_cell_angle_beta 90.00
_cell_angle_gamma 90.00
loop_
_atom_site_label
_atom_site_type_symbol
_atom_site_fract_x
_atom_site_fract_y
_atom_site_fract_z
Pr1 Pr 0.0000 0.0000 0.2500
Pr2 Pr 0.2475 0.1756 0.0000
Sc1 Sc 0.0000 0.5000 0.2500
In1 In 0.2299 0.3705 0.0000
```

***

# Zr2ScPt2

Zr2ScPt2 after structural relaxation (PBE-GGA, Alexandria via LeMat-Bulk).

Calculated values
- magnetic moment (μB per formula unit) = 0.65
- DOS at the Fermi energy (states/eV/cell) = 7.816
- E (eV/atom) = -7.807
- crystal system = tetragonal

```
data_Zr2ScPt2
_chemical_formula_sum 'Zr4 Sc2 Pt4'
_symmetry_space_group_name_H-M 'P 4/m b m'
_symmetry_Int_Tables_number 127
_symmetry_space_group_name_Hall '-P 4 2ab'
_cell_length_a 7.9123
_cell_length_b 7.9123
_cell_length_c 3.1986
_cell_angle_alpha 90.00
_cell_angle_beta 90.00
_cell_angle_gamma 90.00
loop_
_atom_site_label
_atom_site_type_symbol
_atom_site_fract_x
_atom_site_fract_y
_atom_site_fract_z
Zr1 Zr 0.1552 0.3448 0.0000
Sc1 Sc 0.0000 0.0000 0.0000
Pt1 Pt 0.1430 0.6430 0.5000
```

***

# BaAl8Ag6

BaAl8Ag6 after structural relaxation (PBE-GGA, Alexandria via LeMat-Bulk).

Calculated values
- magnetic moment (μB per formula unit) = 0.00
- DOS at the Fermi energy (states/eV/cell) = 14.962
- E (eV/atom) = -3.303
- crystal system = trigonal

```
data_BaAl8Ag6
_chemical_formula_sum 'Ba3 Al24 Ag18'
_symmetry_space_group_name_H-M 'R -3'
_symmetry_Int_Tables_number 148
_symmetry_space_group_name_Hall '-R 3'
_cell_length_a 8.1453
_cell_length_b 8.1453
_cell_length_c 15.5200
_cell_angle_alpha 90.00
_cell_angle_beta 90.00
_cell_angle_gamma 120.00
loop_
_atom_site_label
_atom_site_type_symbol
_atom_site_fract_x
_atom_site_fract_y
_atom_site_fract_z
Ba1 Ba 0.0000 0.0000 0.0000
Al1 Al 0.0000 0.0000 0.2242
Al2 Al 0.0020 0.6628 0.1409
Ag1 Ag 0.0167 0.8028 0.6351
```

***

# Na3InW

Na3InW after structural relaxation (PBE-GGA, Alexandria via LeMat-Bulk).

Calculated values
- magnetic moment (μB per formula unit) = 4.97
- DOS at the Fermi energy (states/eV/cell) = 2.967
- E (eV/atom) = -2.463
- crystal system = cubic

```
data_Na3InW
_chemical_formula_sum 'Na3 In1 W1'
_symmetry_space_group_name_H-M 'P m -3 m'
_symmetry_Int_Tables_number 221
_symmetry_space_group_name_Hall '-P 4 2 3'
_cell_length_a 5.8651
_cell_length_b 5.8651
_cell_length_c 5.8651
_cell_angle_alpha 90.00
_cell_angle_beta 90.00
_cell_angle_gamma 90.00
loop_
_atom_site_label
_atom_site_type_symbol
_atom_site_fract_x
_atom_site_fract_y
_atom_site_fract_z
Na1 Na 0.0000 0.0000 0.5000
In1 In 0.5000 0.5000 0.5000
W1 W 0.0000 0.0000 0.0000
```

***

# CsZn2TeI

CsZn2TeI after structural relaxation (PBE-GGA, Alexandria via LeMat-Bulk).

Calculated values
- magnetic moment (μB per formula unit) = 0.00
- ΔE_f (raw) (eV/atom) = 0.137
- DOS at the Fermi energy (states/eV/cell) = 5.737
- E (eV/atom) = -1.482
- crystal system = tetragonal

```
data_CsZn2TeI
_chemical_formula_sum 'Cs1 Zn2 Te1 I1'
_symmetry_space_group_name_H-M 'P 4/m m m'
_symmetry_Int_Tables_number 123
_symmetry_space_group_name_Hall '-P 4 2'
_cell_length_a 5.6682
_cell_length_b 5.6682
_cell_length_c 7.1249
_cell_angle_alpha 90.00
_cell_angle_beta 90.00
_cell_angle_gamma 90.00
loop_
_atom_site_label
_atom_site_type_symbol
_atom_site_fract_x
_atom_site_fract_y
_atom_site_fract_z
Cs1 Cs 0.0000 0.0000 0.0000
Zn1 Zn 0.0000 0.5000 0.5000
Te1 Te 0.5000 0.5000 0.0000
I1 I 0.0000 0.0000 0.5000
```